Density functional theory data (PBE) for a geometry-optimized RbBa3Ni structure.

**SG**: Pm-3m (221)
**Calculated formation energy**: 0.07 eV per atom
**Total energy**: -0.17871 Ry/atom
**Total magnetization**: 0.0000 μB/atom

abc: 6.4130 6.4130 6.4130
angles: 90.00 90.00 90.00
Positions (direct):
Ba  0.0000  0.0000  0.5000
Ba  0.0000  0.5000  0.0000
Ba  0.5000  0.0000  0.0000
Ni  0.0000  0.0000  0.0000
Rb  0.5000  0.5000  0.5000

=====

Density functional theory data (PBE) for a geometry-optimized Y8ZnCu2 structure.

**SG**: Cm (8)
**Calculated formation energy**: 0.00 eV per atom
**Total energy**: -0.40875 Ry/atom
**Total magnetization**: 0.0003 μB/atom

abc: 5.5106 7.9813 7.9813
angles: 114.99 98.99 98.99
Positions (direct):
Y  0.5890  0.3385  0.0865
Y  0.9935  0.7718  0.2294
Y  0.3889  0.6657  0.9181
Y  0.1871  0.3868  0.3868
Y  0.5890  0.0865  0.3385
Y  0.8042  0.6251  0.6251
Y  0.3889  0.9181  0.6657
Y  0.9935  0.2294  0.7718
Cu  0.4953  0.3101  0.6984
Cu  0.4953  0.6984  0.3101
Zn  0.0750  0.0035  0.0035

=====

Density functional theory data (PBE) for a geometry-optimized SrInPb2 structure.

**SG**: F-43m (216)
**Calculated formation energy**: -0.24 eV per atom
**Total energy**: -0.23519 Ry/atom
**Total magnetization**: 0.0000 μB/atom

abc: 5.6694 5.6694 5.6694
angles: 60.00 60.00 60.00
Positions (direct):
Pb  0.0000  0.0000  0.0000
Pb  0.2500  0.2500  0.2500
In  0.5000  0.5000  0.5000
Sr  0.7500  0.7500  0.7500

=====

Density functional theory data (PBE) for a geometry-optimized BaGaBrO2 structure.

**SG**: Cmcm (63)
**Total energy**: -0.39599 Ry/atom
**Energy relative to the elements, uncorrected**: -2079.9 meV per atom
**Total magnetization**: 0.0000 μB/atom

abc: 5.6104 6.1199 7.3857
angles: 114.48 90.00 90.00
Positions (direct):
Br  0.7500  0.7666  0.5331
Br  0.2500  0.2334  0.4669
Ga  0.2500  0.9995  0.9990
Ga  0.7500  0.0005  0.0010
O  0.5000  0.2138  0.0000
O  0.0000  0.7862  0.0000
O  0.5000  0.7862  0.0000
O  0.0000  0.2138  0.0000
Ba  0.2500  0.6174  0.2348
Ba  0.7500  0.3826  0.7652

=====

Density functional theory data (PBE) for a geometry-optimized Th4PaC4 structure.

**SG**: I-42m (121)
**Energy above the lowest structure with this stoichiometry**: 4.78 eV/f.u.
**Calculated formation energy**: 0.21 eV per atom
**Total energy**: -0.60588 Ry/atom
**Total magnetization**: 0.3649 μB/atom

abc: 5.9738 5.9738 7.1015
angles: 114.87 114.87 90.00
Positions (direct):
C  0.6399  0.6399  0.7530
C  0.1131  0.1131  0.7530
C  0.8869  0.3601  0.2470
C  0.3601  0.8869  0.2470
Th  0.7242  0.7242  0.4484
Th  0.2758  0.2758  0.5516
Th  0.0000  0.5000  0.0000
Th  0.5000  0.0000  0.0000
Pa  0.0000  0.0000  0.0000

=====

Density functional theory data (PBE) for a geometry-optimized MnTeSI2 structure.

**SG**: P4/mmm (123)
**Energy above the lowest structure with this stoichiometry**: 0.32 eV/f.u.
**Total energy**: -0.23405 Ry/atom
**Energy relative to the elements, uncorrected**: 723.4 meV per atom
**Total magnetization**: 0.0003 μB/atom

abc: 5.2225 5.2225 4.9478
angles: 90.00 90.00 90.00
Positions (direct):
Te  0.0000  0.0000  0.5000
I  0.0000  0.5000  0.0000
I  0.5000  0.0000  0.0000
S  0.5000  0.5000  0.5000
Mn  0.0000  0.0000  0.0000

=====

Density functional theory data (PBE) for a geometry-optimized Ba8SbAu3I4 structure.

**SG**: R-3m (166)
**Total energy**: -0.24529 Ry/atom
**Energy relative to the elements, uncorrected**: -1116.3 meV per atom
**Total magnetization**: 0.0000 μB/atom

abc: 9.6627 10.4008 9.6633
angles: 117.70 120.00 90.00
Positions (direct):
Sb  0.0000  0.5000  0.0000
I  0.0000  0.0000  0.0000
I  0.5000  0.0000  0.0000
I  0.0000  0.0000  0.5000
I  0.5000  0.0000  0.5000
Au  0.5000  0.5000  0.0000
Au  0.0000  0.5000  0.5000
Au  0.5000  0.5000  0.5000
Ba  0.2419  0.7141  0.4838
Ba  0.2419  0.7147  0.9732
Ba  0.2642  0.2927  0.5285
Ba  0.2688  0.2853  0.0268
Ba  0.7312  0.7147  0.9732
Ba  0.7358  0.7073  0.4715
Ba  0.7581  0.2853  0.0268
Ba  0.7581  0.2859  0.5162

=====

Density functional theory data (PBE) for a geometry-optimized Ca2NdTl2 structure.

**SG**: Pnma (62)
**Calculated formation energy**: -0.36 eV per atom
**Total energy**: -0.22469 Ry/atom
**Total magnetization**: 0.0000 μB/atom

abc: 5.3673 6.9075 16.6530
angles: 90.00 90.00 90.00
Positions (direct):
Ca  0.7500  0.3076  0.7692
Ca  0.2500  0.6924  0.2308
Ca  0.2500  0.5212  0.6424
Ca  0.7500  0.9788  0.1424
Ca  0.7500  0.4788  0.3576
Ca  0.2500  0.0212  0.8576
Ca  0.2500  0.1924  0.2692
Ca  0.7500  0.8076  0.7308
Tl  0.2500  0.8637  0.0460
Tl  0.7500  0.9506  0.3401
Tl  0.7500  0.6363  0.5460
Tl  0.2500  0.0494  0.6599
Tl  0.7500  0.1363  0.9540
Tl  0.2500  0.3637  0.4540
Tl  0.2500  0.5494  0.8401
Tl  0.7500  0.4506  0.1599
Nd  0.7500  0.6485  0.9506
Nd  0.2500  0.8515  0.4506
Nd  0.7500  0.1485  0.5494
Nd  0.2500  0.3515  0.0494

=====

Density functional theory data (PBE) for a geometry-optimized Ce2CdRe structure.

**SG**: P4/mmm (123)
**Energy above the lowest structure with this stoichiometry**: 0.00 eV/f.u.
**Calculated formation energy**: -0.04 eV per atom
**Total energy**: -0.46680 Ry/atom
**Total magnetization**: 0.0000 μB/atom

abc: 3.3359 3.3359 8.6792
angles: 90.00 90.00 90.00
Positions (direct):
Ce  0.0000  0.0000  0.7949
Ce  0.0000  0.0000  0.2051
Cd  0.5000  0.5000  0.5000
Re  0.5000  0.5000  0.0000

=====

Density functional theory data (PBE) for a geometry-optimized MgNbF3 structure.

**SG**: Pm-3m (221)
**Energy above the lowest structure with this stoichiometry**: 0.00 eV/f.u.
**Total energy**: -0.38682 Ry/atom
**Energy relative to the elements, uncorrected**: -1807.3 meV per atom
**Total magnetization**: 0.7931 μB/atom

abc: 4.0571 4.0571 4.0571
angles: 90.00 90.00 90.00
Positions (direct):
Nb  0.5000  0.5000  0.5000
F  0.5000  0.0000  0.0000
F  0.0000  0.0000  0.5000
F  0.0000  0.5000  0.0000
Mg  0.0000  0.0000  0.0000

=====

Density functional theory data (PBE) for a geometry-optimized SnAs2Rh2 structure.

**SG**: I4/mmm (139)
**Energy above the lowest structure with this stoichiometry**: 0.26 eV/f.u.
**Calculated formation energy**: -0.12 eV per atom
**Total energy**: -0.42017 Ry/atom
**Total magnetization**: 0.0000 μB/atom

abc: 3.9797 3.9797 6.5531
angles: 72.32 72.32 90.00
Positions (direct):
Sn  0.0000  0.0000  0.0000
As  0.2500  0.7500  0.5000
As  0.7500  0.2500  0.5000
Rh  0.6173  0.6173  0.7654
Rh  0.3827  0.3827  0.2346

=====

Density functional theory data (PBE) for a geometry-optimized KCa2Au structure.

**SG**: P4mm (99)
**Energy above the lowest structure with this stoichiometry**: 0.33 eV/f.u.
**Calculated formation energy**: -0.28 eV per atom
**Total energy**: -0.17419 Ry/atom
**Total magnetization**: 0.0000 μB/atom

abc: 4.1055 4.1055 9.2893
angles: 90.00 90.00 89.99
Positions (direct):
K  0.0000  0.0000  0.5408
Ca  0.0000  0.0000  0.9285
Ca  0.5000  0.5000  0.1851
Au  0.5000  0.5000  0.8456

=====

Density functional theory data (PBE) for a geometry-optimized TbGd2Dy structure.

**SG**: P4/mmm (123)
**Energy above the lowest structure with this stoichiometry**: 0.00 eV/f.u.
**Calculated formation energy**: 0.02 eV per atom
**Total energy**: -0.68532 Ry/atom
**Total magnetization**: 3.5875 μB/atom

abc: 3.5625 3.5625 10.0849
angles: 90.00 90.00 90.00
Positions (direct):
Dy  0.5000  0.5000  0.0000
Gd  0.0000  0.0000  0.7506
Gd  0.0000  0.0000  0.2494
Tb  0.5000  0.5000  0.5000